(1)
{"formula": "Sc6ZnS4", "functional": "PBE", "state": "optimized geometry", "lattice_angstrom": [[-2.4153, 1.7490, -2.1390], [-3.2710, -4.2946, 3.3302], [-2.8242, 12.6353, 13.5201]], "species": ["S", "S", "S", "S", "S", "S", "S", "S", "Sc", "Sc", "Sc", "Sc", "Sc", "Sc", "Sc", "Sc", "Sc", "Sc", "Sc", "Sc", "Zn", "Zn"], "frac_coords": [[0.5901, 0.1803, 0.8761], [0.1385, 0.2770, 0.4589], [0.4099, 0.8197, 0.1239], [0.8615, 0.7230, 0.9589], [0.1385, 0.2770, 0.0411], [0.8615, 0.7230, 0.5411], [0.4099, 0.8197, 0.3761], [0.5901, 0.1803, 0.6239], [0.9557, 0.9115, 0.6627], [0.5000, 0.0000, 0.5000], [0.2260, 0.4520, 0.9144], [0.7740, 0.5480, 0.4144], [0.5000, 0.0000, 0.0000], [0.2260, 0.4520, 0.5856], [0.6637, 0.3275, 0.7500], [0.0443, 0.0885, 0.3373], [0.9557, 0.9115, 0.8373], [0.7740, 0.5480, 0.0856], [0.0443, 0.0885, 0.1627], [0.3363, 0.6725, 0.2500], [0.3373, 0.6746, 0.7500], [0.6627, 0.3254, 0.2500]], "formation_energy_uncorrected_ev_per_atom": -1.46}

(2)
{"formula": "Ac2CePr", "functional": "PBE", "state": "optimized geometry", "lattice_angstrom": [[3.7354, 0.0000, 0.0000], [1.8677, 3.2350, 0.0000], [1.8677, 1.0783, 13.2335]], "species": ["Ac", "Ac", "Ce", "Pr"], "frac_coords": [[0.9123, 0.9123, 0.2630], [0.0877, 0.0877, 0.7370], [0.0000, 0.0000, 0.0000], [0.5000, 0.5000, 0.5000]], "relative_energy_kj_per_mol_atoms": 16.8}

Results for volume: 417; 160 (in Å³/cell, following the order of the records).
Results for DOS at the Fermi energy: 6.1; 10.4 (in states/eV/f.u., following the order of the records).